Density functional theory data (GGA+U) for a geometry-optimized Mn2Si2Pb2O9 structure.

Lattice parameters (Å, degrees): 6.361 6.361 11.294 90.00 90.00 108.54
Positions (direct):
1 Mn 0.088 0.088 0.000
2 Mn 0.176 0.824 0.750
3 Mn 0.824 0.176 0.250
4 Mn 0.912 0.912 0.500
5 Si 0.099 0.305 0.774
6 Si 0.305 0.099 0.226
7 Si 0.695 0.901 0.726
8 Si 0.901 0.695 0.274
9 Pb 0.222 0.568 0.477
10 Pb 0.432 0.778 0.023
11 Pb 0.568 0.222 0.523
12 Pb 0.778 0.432 0.977
13 O 0.080 0.798 0.963
14 O 0.124 0.380 0.916
15 O 0.142 0.248 0.240
16 O 0.160 0.526 0.690
17 O 0.167 0.833 0.250
18 O 0.202 0.920 0.537
19 O 0.248 0.142 0.760
20 O 0.380 0.124 0.084
21 O 0.474 0.840 0.810
22 O 0.526 0.160 0.310
23 O 0.620 0.876 0.584
24 O 0.752 0.858 0.260
25 O 0.798 0.080 0.037
26 O 0.833 0.167 0.750
27 O 0.840 0.474 0.190
28 O 0.858 0.752 0.740
29 O 0.876 0.620 0.416
30 O 0.920 0.202 0.463

VASP energy = -105.937 eV per formula unit
calculated density = 5553 kg/m³